Entry 1:
Cr4B | GGA-PBE | optimized geometry Values from VASP.

```
&SYSTEM
  ibrav = 0, nat = 5, ntyp = 2
/
ATOMIC_SPECIES
Cr 52.00 Cr.upf
B 10.81 B.upf
CELL_PARAMETERS angstrom
-0.5356 3.4136 -1.7497
-2.6672 0.9383 2.6470
2.7568 1.5709 2.2210
ATOMIC_POSITIONS crystal
Cr 0.0000 0.0000 0.0000
Cr 0.5000 0.0000 0.5000
Cr 0.0000 0.5000 0.5000
Cr 0.5000 0.5000 0.0000
B 0.5000 0.5000 0.5000
```

## Properties
E above lowest polymorph: 314.6 meV per atom
space group: Pm-3m, No. 221
density of states at the Fermi level: 6.51 states/eV/f.u.
total moment: 0.87 Bohr magnetons per cell
energy of formation: 372 meV per atom

=====

Entry 2:
ScTa2Te | GGA-PBE | optimized geometry Values from VASP.

```
&SYSTEM
  ibrav = 0, nat = 4, ntyp = 3
/
ATOMIC_SPECIES
Sc 44.96 Sc.upf
Ta 180.95 Ta.upf
Te 127.60 Te.upf
CELL_PARAMETERS angstrom
-0.8015 -3.0187 1.0477
2.9094 -0.2428 1.5263
-3.0584 3.0012 6.3073
ATOMIC_POSITIONS crystal
Sc 0.5000 0.5000 0.7500
Ta 0.0000 0.0000 0.0218
Ta 0.0000 0.0000 0.4782
Te 0.5000 0.5000 0.2500
```

## Properties
uncorrected formation energy: 323 meV per atom
E above lowest polymorph: 444.1 meV per atom
space group: P4/mmm, No. 123
density of states at the Fermi level: 4.63 states/eV/f.u.
total moment: 0.00 Bohr magnetons per cell

=====

Entry 3:
GaSi2TcSn | GGA-PBE | optimized geometry Values from VASP.

```
&SYSTEM
  ibrav = 0, nat = 5, ntyp = 4
/
ATOMIC_SPECIES
Si 28.09 Si.upf
Sn 118.71 Sn.upf
Ga 69.72 Ga.upf
Tc 98.00 Tc.upf
CELL_PARAMETERS angstrom
-4.4621 0.3098 -1.3473
0.1069 -4.6532 -1.4242
-1.3786 -1.3352 4.2588
ATOMIC_POSITIONS crystal
Si 0.0000 0.0000 0.5000
Si 0.5000 0.0000 0.0000
Sn 0.5000 0.5000 0.5000
Ga 0.0000 0.0000 0.0000
Tc 0.0000 0.5000 0.0000
```

## Properties
uncorrected formation energy: 1083 meV per atom
space group: P4/mmm, No. 123
density of states at the Fermi level: 4.19 states/eV/f.u.
total moment: 1.73 Bohr magnetons per cell

=====

Entry 4:
In2SnBrN | GGA-PBE | optimized geometry Values from VASP.

```
&SYSTEM
  ibrav = 0, nat = 5, ntyp = 4
/
ATOMIC_SPECIES
N 14.01 N.upf
Sn 118.71 Sn.upf
Br 79.90 Br.upf
In 114.82 In.upf
CELL_PARAMETERS angstrom
5.8948 0.0000 0.0000
0.0000 5.6218 0.0000
0.0000 0.0000 5.8948
ATOMIC_POSITIONS crystal
N 0.5000 0.5000 0.5000
Sn 0.0000 0.5000 0.0000
Br 0.0000 0.0000 0.0000
In 0.0000 0.0000 0.5000
In 0.5000 0.0000 0.0000
```

## Properties
uncorrected formation energy: 1525 meV per atom
space group: P4/mmm, No. 123
density of states at the Fermi level: 5.08 states/eV/f.u.
total moment: 0.00 Bohr magnetons per cell

=====

Entry 5:
CaMgCd2Mo | GGA-PBE | optimized geometry Values from VASP.

```
&SYSTEM
  ibrav = 0, nat = 5, ntyp = 4
/
ATOMIC_SPECIES
Mg 24.30 Mg.upf
Mo 95.94 Mo.upf
Ca 40.08 Ca.upf
Cd 112.41 Cd.upf
CELL_PARAMETERS angstrom
5.2948 0.0000 0.0000
0.0000 5.1515 0.0000
0.0000 0.0000 5.2948
ATOMIC_POSITIONS crystal
Mg 0.0000 0.5000 0.0000
Mo 0.0000 0.0000 0.0000
Ca 0.5000 0.5000 0.5000
Cd 0.0000 0.0000 0.5000
Cd 0.5000 0.0000 0.0000
```

## Properties
space group: P4/mmm, No. 123
density of states at the Fermi level: 5.51 states/eV/f.u.
total moment: 1.28 Bohr magnetons per cell
energy of formation: 609 meV per atom

=====

Entry 6:
Tb6Pr16Er7 | GGA-PBE | optimized geometry Values from VASP.

```
&SYSTEM
  ibrav = 0, nat = 29, ntyp = 3
/
ATOMIC_SPECIES
Tb 158.93 Tb.upf
Pr 140.91 Pr.upf
Er 167.26 Er.upf
CELL_PARAMETERS angstrom
9.8436 0.0000 5.6832
3.2812 9.2806 5.6832
0.0000 0.0000 11.3664
ATOMIC_POSITIONS crystal
Tb 0.2643 0.7357 0.2643
Tb 0.7357 0.2643 0.7357
Tb 0.7357 0.2643 0.2643
Tb 0.2643 0.7357 0.7357
Tb 0.7357 0.7357 0.2643
Tb 0.2643 0.2643 0.7357
Pr 0.8747 0.8747 0.3760
Pr 0.8747 0.8747 0.8747
Pr 0.8747 0.3760 0.8747
Pr 0.3760 0.8747 0.8747
Pr 0.1253 0.1253 0.1253
Pr 0.1253 0.1253 0.6240
Pr 0.1253 0.6240 0.1253
Pr 0.6240 0.1253 0.1253
Pr 0.6486 0.6486 0.0541
Pr 0.6486 0.6486 0.6486
Pr 0.6486 0.0541 0.6486
Pr 0.0541 0.6486 0.6486
Pr 0.3514 0.3514 0.3514
Pr 0.3514 0.3514 0.9459
Pr 0.3514 0.9459 0.3514
Pr 0.9459 0.3514 0.3514
Er 0.0000 0.0000 0.0000
Er 0.5000 0.0000 0.5000
Er 0.0000 0.5000 0.0000
Er 0.0000 0.5000 0.5000
Er 0.5000 0.0000 0.0000
Er 0.0000 0.0000 0.5000
Er 0.5000 0.5000 0.0000
```

## Properties
space group: Fm-3m, No. 225
density of states at the Fermi level: 39.30 states/eV/f.u.
total moment: 0.01 Bohr magnetons per cell
energy of formation: 199 meV per atom

=====

Entry 7:
Sr7Ag2Au2 | GGA-PBE | optimized geometry Values from VASP.

```
&SYSTEM
  ibrav = 0, nat = 11, ntyp = 3
/
ATOMIC_SPECIES
Sr 87.62 Sr.upf
Ag 107.87 Ag.upf
Au 196.97 Au.upf
CELL_PARAMETERS angstrom
0.5255 -3.7174 2.4050
7.8916 -4.6138 -4.7231
9.4229 1.2141 3.9505
ATOMIC_POSITIONS crystal
Sr 0.8123 0.0834 0.2920
Sr 0.8647 0.3987 0.8718
Sr 0.5000 0.0046 0.9954
Sr 0.6158 0.4895 0.2790
Sr 0.3842 0.7210 0.5105
Sr 0.1877 0.7080 0.9166
Sr 0.1353 0.1282 0.6013
Ag 0.0000 0.7737 0.2263
Ag 0.5000 0.3407 0.6593
Au 0.7406 0.8624 0.6564
Au 0.2594 0.3436 0.1376
```

## Properties
E above lowest polymorph: 0.0 meV per atom
space group: Imm2, No. 44
density of states at the Fermi level: 6.40 states/eV/f.u.
total moment: 0.00 Bohr magnetons per cell
energy of formation: -416 meV per atom

=====

Entry 8:
PaZnBO5 | GGA-PBE | optimized geometry Values from VASP.

```
&SYSTEM
  ibrav = 0, nat = 16, ntyp = 4
/
ATOMIC_SPECIES
Pa 231.04 Pa.upf
Zn 65.41 Zn.upf
B 10.81 B.upf
O 16.00 O.upf
CELL_PARAMETERS angstrom
5.4001 0.0590 0.5629
-1.5199 5.1822 0.5629
-0.9545 -1.2894 6.3393
ATOMIC_POSITIONS crystal
Pa 0.3762 0.6238 0.2500
Pa 0.6238 0.3762 0.7500
Zn 0.0000 0.0000 0.5000
Zn 0.0000 0.0000 0.0000
B 0.7376 0.2624 0.2500
B 0.2624 0.7376 0.7500
O 0.1359 0.8641 0.2500
O 0.8641 0.1359 0.7500
O 0.0099 0.3223 0.1944
O 0.9901 0.6777 0.8056
O 0.6777 0.9901 0.3056
O 0.3223 0.0099 0.6944
O 0.6912 0.4319 0.4204
O 0.3088 0.5681 0.5796
O 0.5681 0.3088 0.0796
O 0.4319 0.6912 0.9204
```

## Properties
uncorrected formation energy: -2602 meV per atom
space group: C2/c, No. 15
density of states at the Fermi level: 0.00 states/eV/f.u.
total moment: 0.00 Bohr magnetons per cell

=====

Entry 9:
Na2LiLaCu | GGA-PBE | optimized geometry Values from VASP.

```
&SYSTEM
  ibrav = 0, nat = 5, ntyp = 4
/
ATOMIC_SPECIES
Na 22.99 Na.upf
Li 6.94 Li.upf
Cu 63.55 Cu.upf
La 138.91 La.upf
CELL_PARAMETERS angstrom
-4.8327 0.5664 -0.6803
0.5226 -2.4124 -5.7212
-0.7835 -4.4944 1.8235
ATOMIC_POSITIONS crystal
Na 0.0000 0.0000 0.5000
Na 0.5000 0.0000 0.0000
Li 0.0000 0.0000 0.0000
Cu 0.5000 0.5000 0.5000
La 0.0000 0.5000 0.0000
```

## Properties
E above lowest polymorph: 303.4 meV per atom
space group: P4/mmm, No. 123
density of states at the Fermi level: 4.23 states/eV/f.u.
total moment: 0.00 Bohr magnetons per cell
energy of formation: 607 meV per atom

=====

Entry 10:
GaBS4 | GGA-PBE | optimized geometry Values from VASP.

```
&SYSTEM
  ibrav = 0, nat = 12, ntyp = 3
/
ATOMIC_SPECIES
Ga 69.72 Ga.upf
B 10.81 B.upf
S 32.06 S.upf
CELL_PARAMETERS angstrom
2.8369 0.0000 0.0000
0.0000 5.9991 -0.1591
0.0000 -0.4407 13.9896
ATOMIC_POSITIONS crystal
Ga 0.5000 0.5000 0.5000
Ga 0.0000 0.0000 0.0000
B 0.0000 0.0000 0.5000
B 0.5000 0.5000 0.0000
S 0.5000 0.1444 0.4124
S 0.0000 0.3556 0.0876
S 0.5000 0.8556 0.5876
S 0.0000 0.6444 0.9124
S 0.0000 0.6990 0.3888
S 0.5000 0.8010 0.1112
S 0.0000 0.3010 0.6112
S 0.5000 0.1990 0.8888
```

## Properties
uncorrected formation energy: 186 meV per atom
space group: C2/m, No. 12
density of states at the Fermi level: 1.75 states/eV/f.u.
total moment: 0.00 Bohr magnetons per cell